First-principles (PBE with a Hubbard U) data for a geometry-optimized YNiO2F structure, as listed in Alexandria.

Unit cell a=3.9481 b=3.9481 c=3.7369 alpha=90.00 beta=90.00 gamma=90.00
Closest atoms and distances in Å follow each position.
Fractional positions:
1 Y 0.5000 0.5000 0.5000  8 O 2.72, 4 F 2.79
2 Ni 0.0000 0.0000 0.0000  2 F 1.87, 4 O 1.97
3 O 0.0000 0.5000 0.0000  2 Ni 1.97
4 O 0.5000 0.0000 0.0000  2 Ni 1.97
5 F 0.0000 0.0000 0.5000  2 Ni 1.87

Computed properties:
E_tot in eV per atom: -6.358
Symmetry: P4/mmm (123)